A plane-wave DFT calculation with meta-GGA SCAN was carried out for Cr3HN at its PBEsol-relaxed geometry.

The calculation puts the total energy at -63.68 eV for the cell shown.

The space group is Pm-3m (No. 221) and the conventional cell measures 3.475, 3.475 and 3.475 Å, with angles of 90.00, 90.00 and 90.00 degrees. Symmetry generates all atoms from Cr at (0.000, 0.000, 0.500), H at (0.000, 0.000, 0.000) and N at (0.500, 0.500, 0.500).